First-principles (PBE) data for LiGeI2O after structural relaxation, as listed in Alexandria.

E = -15.10 eV per cell
raw formation energy = -0.103 eV/atom
ΔE to the lowest computed polymorph = 48.7 kJ/mol of atoms
volume = 23.1 A^3/atom

a b c (Å): 5.505 5.505 3.811
angles (deg): 90.00 90.00 90.00
Fractional coordinates of all 5 atoms:
I: 0.500 0.000 0.000
I: 0.000 0.500 0.000
Ge: 0.500 0.500 0.500
Li: 0.000 0.000 0.000
O: 0.000 0.000 0.500

***

First-principles (PBE) data for LiGeIO2 after structural relaxation, as listed in Alexandria.

E = -17.34 eV per cell
raw formation energy = 0.132 eV/atom
ΔE to the lowest computed polymorph = 96.2 kJ/mol of atoms
volume = 17.4 A^3/atom

a b c (Å): 4.090 4.090 5.206
angles (deg): 90.00 90.00 90.00
Fractional coordinates of all 5 atoms:
I: 0.000 0.000 0.500
Ge: 0.500 0.500 0.500
Li: 0.000 0.000 0.000
O: 0.000 0.500 0.000
O: 0.500 0.000 0.000